Computed, not measured: a relaxed ZrTlZn2 crystal at the PBE-GGA level of DFT.

ρ = 8.30 g/cm³
ΔE to the lowest computed polymorph = 256 meV/atom
E_form = 109 meV/atom
calculated total energy = -0.1197 Ha/atom

abc: 3.1730 3.1730 29.3694
angles: 90.00 90.00 120.00
With the nearest neighbours (Å) after each atom.
Space group R-3m (No. 166, hexagonal axes)
Symmetry-distinct sites (fractional):
1 Zr 0.0000 0.0000 0.0000 (multiplicity 3)  6 Zn 2.97, 6 Zr 3.17
2 Tl 0.0000 0.0000 0.5000 (multiplicity 3)  6 Zn 3.15, 6 Tl 3.17
3 Zn 0.0000 0.0000 0.2539 (multiplicity 6)  3 Zr 2.97, 3 Tl 3.15, 6 Zn 3.17

=====

Computed, not measured: a relaxed La2PrF11 crystal at the PBE-GGA level of DFT.

formation energy (no corrections) = -3.4321 eV per atom
ρ = 3.67 g/cm³
calculated total energy = -0.2186 Ha/atom

abc: 8.9144 10.7026 11.8942
angles: 90.00 90.00 90.00
With the nearest neighbours (Å) after each atom.
Space group Ibam (No. 72)
Symmetry-distinct sites (fractional):
1 La 0.1675 0.1916 0.0000 (multiplicity 8)  7 F 2.34-2.54
2 Pr 0.0000 0.5000 0.2500 (multiplicity 4)  8 F 2.39-2.40
3 F 0.0000 0.0000 0.0000 (multiplicity 4)  2 F 2.19
4 F 0.1018 0.3300 0.1437 (multiplicity 16)  1 La 2.34, 1 Pr 2.39
5 F 0.1038 0.1850 0.5000 (multiplicity 8)  1 F 2.19, 2 La 2.42-2.43
6 F 0.2001 0.4260 0.3676 (multiplicity 16)  1 La 2.34, 1 Pr 2.40

=====

Computed, not measured: a relaxed Sm12H5Pd3 crystal at the PBE-GGA level of DFT.

ρ = 7.61 g/cm³
calculated total energy = -0.1775 Ha/atom

abc: 15.4880 15.4880 15.4880
angles: 90.00 90.00 90.00
With the nearest neighbours (Å) after each atom.
Space group Ia-3d (No. 230)
Symmetry-distinct sites (fractional):
1 Sm 0.0376 0.0603 0.6530 (multiplicity 96)  1 H 2.23
2 H 0.0000 0.0000 0.0000 (multiplicity 16)  6 Sm 2.61
3 H 0.0000 0.2500 0.3750 (multiplicity 24)  4 Sm 2.23
4 Pd 0.0000 0.2500 0.1250 (multiplicity 24)  8 Sm 3.03-3.08

=====

Computed, not measured: a relaxed ScP2RuCl crystal at the PBE-GGA level of DFT.

formation energy (no corrections) = 0.0346 eV per atom
ρ = 4.01 g/cm³
ΔE to the lowest computed polymorph = 0 meV/atom
calculated total energy = -0.2065 Ha/atom

abc: 4.5421 4.5421 4.8836
angles: 90.00 90.00 90.00
With the nearest neighbours (Å) after each atom.
Space group P4/mmm (No. 123)
Symmetry-distinct sites (fractional):
1 Sc 0.0000 0.0000 0.0000 (multiplicity 1)  4 Cl 3.21, 8 P 3.33
2 P 0.0000 0.5000 0.5000 (multiplicity 2)  2 Ru 2.27
3 Ru 0.5000 0.5000 0.5000 (multiplicity 1)  4 P 2.27, 2 Cl 2.44
4 Cl 0.5000 0.5000 0.0000 (multiplicity 1)  2 Ru 2.44